# PBE with a Hubbard U MnNi3O, optimized geometry
# excess energy over the best structure of this formula in the dataset	0.0	meV/atom
data_MnNi3O
_cell_length_a 3.833
_cell_length_b 3.833
_cell_length_c 3.833
_cell_angle_alpha 90.00
_cell_angle_beta 90.00
_cell_angle_gamma 90.00
_symmetry_space_group_name_H-M 'P m -3 m'
_symmetry_Int_Tables_number 221
_symmetry_space_group_name_Hall '-P 4 2 3'
loop_
_atom_site_label
_atom_site_type_symbol
_atom_site_fract_x
_atom_site_fract_y
_atom_site_fract_z
Mn1 Mn 0.000 0.000 0.000
Ni1 Ni 0.000 0.500 0.500
O1 O 0.500 0.500 0.500